VASP calculation (PBE) on a relaxed structure of PrSmI.

Computed properties:
Its crystal system is tetragonal. The value obtained for the calculated density is 6.78 g/cm3. The raw formation energy comes out at -1.415 eV per formula unit. The total energy comes out at -4.1544 eV per atom.

Cell lengths 3.7652, 3.7652, 14.4451 Å; angles 90.00, 90.00, 90.00 degrees
Last column: nearest neighbours and their distance in Å.
Space group I4mm (No. 107)
Symmetry-distinct sites (fractional):
1 Pr 0.0000 0.0000 0.0000 (multiplicity 2)  4 I 3.59, 4 Sm 3.68, 4 Pr 3.77
2 Sm 0.0000 0.0000 0.6758 (multiplicity 2)  4 I 3.51, 4 Pr 3.68, 4 Sm 3.77
3 I 0.0000 0.0000 0.3337 (multiplicity 2)  4 Sm 3.51, 4 Pr 3.59, 4 I 3.77

=====

VASP calculation (PBE) on a relaxed structure of SrFeI3.

Computed properties:
Its crystal system is cubic. The value obtained for the calculated density is 3.37 g/cm3. The raw formation energy comes out at -0.462 eV per formula unit. The total energy comes out at -3.0513 eV per atom.

Cell lengths 6.3711, 6.3711, 6.3711 Å; angles 90.00, 90.00, 90.00 degrees
Last column: nearest neighbours and their distance in Å.
Space group Pm-3m (No. 221)
Symmetry-distinct sites (fractional):
1 Sr 0.0000 0.0000 0.0000 (multiplicity 1)  6 I 3.19
2 Fe 0.5000 0.5000 0.5000 (multiplicity 1)  12 I 4.51
3 I 0.0000 0.0000 0.5000 (multiplicity 3)  2 Sr 3.19

=====

VASP calculation (PBE) on a relaxed structure of Rb5U2I12.

Computed properties:
Its crystal system is monoclinic. The value obtained for the calculated density is 3.86 g/cm3. The raw formation energy comes out at -21.550 eV per formula unit. The total energy comes out at -3.5561 eV per atom.

Cell lengths 20.7772, 9.3556, 11.6913 Å; angles 90.00, 113.22, 90.00 degrees
Last column: nearest neighbours and their distance in Å.
Space group C2/m (No. 12)
Symmetry-distinct sites (fractional):
1 Rb 0.0000 0.0000 0.0000 (multiplicity 2)  6 I 3.62-3.87
2 Rb 0.1736 0.5000 0.2921 (multiplicity 4)  2 I 3.53
3 Rb 0.2215 0.5000 0.9006 (multiplicity 4)  5 I 3.59-3.94
4 U 0.0000 0.2508 0.5000 (multiplicity 4)  6 I 3.00-3.15
5 I 0.0192 0.5000 0.6920 (multiplicity 4)  2 U 3.15
6 I 0.0257 0.0000 0.6897 (multiplicity 4)  2 U 3.13
7 I 0.1400 0.2528 0.0475 (multiplicity 8)  4 Rb 3.53-3.67
8 I 0.1539 0.2559 0.5565 (multiplicity 8)  1 U 3.00

=====

VASP calculation (PBE) on a relaxed structure of Ca2ScRe.

Computed properties:
Its crystal system is tetragonal. The value obtained for the calculated density is 5.51 g/cm3. The calculation puts the formation energy at 0.608 eV per atom. The total energy comes out at -5.0879 eV per atom.

Cell lengths 4.3587, 4.3587, 4.9352 Å; angles 90.00, 90.00, 90.00 degrees
Last column: nearest neighbours and their distance in Å.
Space group P4/mmm (No. 123)
Symmetry-distinct sites (fractional):
1 Ca 0.0000 0.5000 0.0000 (multiplicity 2)  4 Ca 3.08, 4 Re 3.29, 4 Sc 3.29
2 Sc 0.0000 0.0000 0.5000 (multiplicity 1)  4 Re 3.08, 8 Ca 3.29
3 Re 0.5000 0.5000 0.5000 (multiplicity 1)  4 Sc 3.08, 8 Ca 3.29

=====

VASP calculation (PBE) on a relaxed structure of In4Pb.

Computed properties:
Its crystal system is tetragonal. The value obtained for the calculated density is 7.85 g/cm3. The calculation puts the formation energy at 0.029 eV per atom. The total energy comes out at -2.9037 eV per atom.

Cell lengths 7.9407, 7.9407, 4.4700 Å; angles 90.00, 90.00, 90.00 degrees
Last column: nearest neighbours and their distance in Å.
Space group I4/m (No. 87)
Symmetry-distinct sites (fractional):
1 In 0.1035 0.6942 0.0000 (multiplicity 8)  9 In 3.33-3.63, 3 Pb 3.40-3.51
2 Pb 0.0000 0.0000 0.5000 (multiplicity 2)  12 In 3.40-3.51

=====

VASP calculation (PBE) on a relaxed structure of Mg6HgRh2.

Computed properties:
Its crystal system is trigonal. The value obtained for the calculated density is 5.59 g/cm3. The calculation puts the formation energy at -0.292 eV per atom. The total energy comes out at -3.0221 eV per atom.

Cell lengths 4.6187, 4.6187, 8.8766 Å; angles 90.00, 90.00, 120.00 degrees
Last column: nearest neighbours and their distance in Å.
Space group P-3m1 (No. 164)
Symmetry-distinct sites (fractional):
1 Mg 0.0000 0.0000 0.1892 (multiplicity 2)  3 Rh 2.71, 1 Hg 2.76, 3 Mg 2.90
2 Mg 0.3333 0.6667 0.0611 (multiplicity 2)  1 Rh 2.72, 7 Mg 2.88-2.93
3 Mg 0.3333 0.6667 0.3912 (multiplicity 2)  3 Hg 2.84, 1 Mg 2.93, 3 Rh 2.97
4 Hg 0.0000 0.0000 0.5000 (multiplicity 1)  8 Mg 2.76-2.84
5 Rh 0.3333 0.6667 0.7550 (multiplicity 2)  7 Mg 2.71-2.97

=====

VASP calculation (PBE) on a relaxed structure of SnAsSeN2.

Computed properties:
Its crystal system is tetragonal. The value obtained for the calculated density is 5.25 g/cm3. The raw formation energy comes out at 6.865 eV per formula unit. The total energy comes out at -4.3846 eV per atom.

Cell lengths 4.1191, 4.1191, 5.6046 Å; angles 90.00, 90.00, 90.00 degrees
Last column: nearest neighbours and their distance in Å.
Space group P4/mmm (No. 123)
Symmetry-distinct sites (fractional):
1 Sn 0.0000 0.0000 0.0000 (multiplicity 1)  4 N 2.06
2 As 0.5000 0.5000 0.5000 (multiplicity 1)  4 Se 2.91
3 Se 0.0000 0.0000 0.5000 (multiplicity 1)  2 Sn 2.80, 4 As 2.91
4 N 0.0000 0.5000 0.0000 (multiplicity 2)  2 Sn 2.06

=====

VASP calculation (PBE) on a relaxed structure of PmCd2SnPd2.

Computed properties:
Its crystal system is tetragonal. The value obtained for the calculated density is 7.61 g/cm3. The calculation puts the formation energy at -0.235 eV per atom. The total energy comes out at -3.7299 eV per atom.

Cell lengths 5.2945, 5.2945, 10.9177 Å; angles 90.00, 90.00, 90.00 degrees
Last column: nearest neighbours and their distance in Å.
Space group I4/mmm (No. 139)
Symmetry-distinct sites (fractional):
1 Pm 0.0000 0.0000 0.0000 (multiplicity 2)  2 Pd 2.86
2 Cd 0.0000 0.5000 0.2500 (multiplicity 4)  4 Pd 2.65
3 Sn 0.0000 0.0000 0.5000 (multiplicity 2)  2 Pd 2.60
4 Pd 0.0000 0.0000 0.2622 (multiplicity 4)  1 Sn 2.60, 4 Cd 2.65, 1 Pm 2.86

=====

Which formula does entry 3 have?
Rb5U2I12

=====

Which of these has the highest calculated density?
In4Pb

=====

Among the records above, which one has the lowest total energy?
Ca2ScRe